The following is a GGA-PBE calculation of TcSn6Hg after structural relaxation, from Alexandria via LeMat-Bulk.

Lattice parameters (Å, degrees): 9.2999 9.2999 8.7238 90.00 90.00 120.00
Space group R-3m (No. 166, hexagonal axes)
Asymmetric unit:
Tc (0.0000, 0.0000, 0.0000) (multiplicity 3)
Sn (0.0602, 0.5301, 0.8368) (multiplicity 18)
Hg (0.0000, 0.0000, 0.5000) (multiplicity 3)

Its total moment is 0.00 μB per formula unit. For the electronic total energy, the calculation gives -4.15 eV/atom. The density of states at the Fermi level is 14.9 states/eV/cell.

---

The following is a GGA-PBE calculation of Tc3SnHg after structural relaxation, from Alexandria via LeMat-Bulk.

Lattice parameters (Å, degrees): 4.961 4.961 4.961 90.00 90.00 90.00
Space group Pm-3m (No. 221)
Asymmetric unit:
Tc (0.000, 0.000, 0.500) (multiplicity 3)
Sn (0.000, 0.000, 0.000) (multiplicity 1)
Hg (0.500, 0.500, 0.500) (multiplicity 1)

Its total moment is 6.97 μB per formula unit. For the electronic total energy, the calculation gives -5.09 eV/atom. The density of states at the Fermi level is 4.4 states/eV/cell.

---

The following is a GGA-PBE calculation of TcSnHg2 after structural relaxation, from Alexandria via LeMat-Bulk.

Lattice parameters (Å, degrees): 8.396 8.396 5.406 90.00 90.00 90.00
Space group I-42d (No. 122)
Asymmetric unit:
Tc (0.000, 0.000, 0.000) (multiplicity 4)
Sn (0.000, 0.000, 0.500) (multiplicity 4)
Hg (0.194, 0.250, 0.125) (multiplicity 8)

Its total moment is 1.00 μB per formula unit. For the electronic total energy, the calculation gives -3.14 eV/atom. The density of states at the Fermi level is 0.9 states/eV/cell.

---

The following is a GGA-PBE calculation of TcSnHg3 after structural relaxation, from Alexandria via LeMat-Bulk.

Lattice parameters (Å, degrees): 5.268 5.268 5.268 90.00 90.00 90.00
Space group Pm-3m (No. 221)
Asymmetric unit:
Tc (0.000, 0.000, 0.000) (multiplicity 1)
Sn (0.500, 0.500, 0.500) (multiplicity 1)
Hg (0.000, 0.000, 0.500) (multiplicity 3)

Its total moment is 1.25 μB per formula unit. For the electronic total energy, the calculation gives -2.29 eV/atom. The density of states at the Fermi level is 3.2 states/eV/cell.

---

The following is a GGA-PBE calculation of TcSn4Hg after structural relaxation, from Alexandria via LeMat-Bulk.

Lattice parameters (Å, degrees): 7.050 7.050 11.330 90.00 90.00 90.00
Space group I4/mcm (No. 140)
Asymmetric unit:
Tc (0.000, 0.000, 0.250) (multiplicity 4)
Sn (0.154, 0.346, 0.146) (multiplicity 16)
Hg (0.000, 0.000, 0.000) (multiplicity 4)

Its total moment is 0.00 μB per formula unit. For the electronic total energy, the calculation gives -4.43 eV/atom. The density of states at the Fermi level is 12.2 states/eV/cell.

---

The following is a GGA-PBE calculation of Tc2SnHg after structural relaxation, from Alexandria via LeMat-Bulk.

Lattice parameters (Å, degrees): 6.543 6.543 6.543 90.00 90.00 90.00
Space group Fm-3m (No. 225)
Asymmetric unit:
Tc (0.250, 0.250, 0.250) (multiplicity 8)
Sn (0.000, 0.000, 0.000) (multiplicity 4)
Hg (0.000, 0.000, 0.500) (multiplicity 4)

Its total moment is 1.79 μB per formula unit. For the electronic total energy, the calculation gives -5.73 eV/atom. The density of states at the Fermi level is 21.3 states/eV/cell.